1.
Density functional theory data (PBE-GGA) for crystalline La2Ti2Hg at its relaxed geometry. Values from VASP.

Quantum ESPRESSO input file:
```
&SYSTEM
  ibrav = 0, nat = 10, ntyp = 3
/
ATOMIC_SPECIES
La 138.91 La.upf
Ti 47.87 Ti.upf
Hg 200.59 Hg.upf
CELL_PARAMETERS angstrom
7.351 0.000 0.000
0.000 7.351 0.000
0.000 0.000 4.758
ATOMIC_POSITIONS angstrom
La 1.232 2.444 0.000
La 2.444 6.119 0.000
La 4.907 1.232 0.000
La 6.119 4.907 0.000
Ti 0.983 4.659 2.379
Ti 2.692 0.983 2.379
Ti 4.659 6.368 2.379
Ti 6.368 2.692 2.379
Hg 0.000 0.000 2.379
Hg 3.676 3.676 2.379
```

Calculated values
The value obtained for the volume is 257.1 Å³/cell. The total magnetization comes out at 0.00 μB/atom. The calculated formation energy comes out at 0.10 eV per atom. The total energy comes out at -50.85 eV/cell.


2.
Density functional theory data (PBE-GGA) for crystalline AcNbHgO5 at its relaxed geometry. Values from VASP.

Quantum ESPRESSO input file:
```
&SYSTEM
  ibrav = 0, nat = 16, ntyp = 4
/
ATOMIC_SPECIES
Ac 227.00 Ac.upf
Nb 92.91 Nb.upf
Hg 200.59 Hg.upf
O 16.00 O.upf
CELL_PARAMETERS angstrom
4.640 -4.759 0.000
4.640 4.759 0.000
-4.562 0.000 7.930
ATOMIC_POSITIONS angstrom
Ac 0.000 0.000 0.000
Ac -2.281 0.000 3.965
Nb 1.218 1.294 5.947
Nb 3.499 -1.294 1.982
Hg 3.499 1.754 1.982
Hg 1.218 -1.754 5.947
O 3.499 3.795 1.982
O 0.464 2.382 7.243
O 1.972 2.382 4.652
O -0.066 0.087 5.202
O 2.215 -0.087 1.237
O 2.502 0.087 6.693
O 4.783 -0.087 2.728
O 2.745 -2.382 3.278
O 4.253 -2.382 0.687
O 1.218 -3.795 5.947
```

Calculated values
The value obtained for the volume is 350.2 Å³/cell. The total magnetization comes out at 0.00 μB/atom. As for the uncorrected formation energy: -217 kJ per mole of atoms. The total energy comes out at -114.50 eV/cell.


3.
Density functional theory data (PBE-GGA) for crystalline Nd6AlCd3 at its relaxed geometry. Values from VASP.

Quantum ESPRESSO input file:
```
&SYSTEM
  ibrav = 0, nat = 20, ntyp = 3
/
ATOMIC_SPECIES
Nd 144.24 Nd.upf
Al 26.98 Al.upf
Cd 112.41 Cd.upf
CELL_PARAMETERS angstrom
9.508 0.000 0.000
0.000 5.396 0.000
-3.590 0.000 11.416
ATOMIC_POSITIONS angstrom
Nd -1.170 1.349 4.694
Nd 0.925 4.047 1.963
Nd -1.143 1.349 11.414
Nd 0.388 4.047 9.366
Nd 2.288 1.349 3.909
Nd 1.559 1.349 7.165
Nd 4.359 4.047 4.250
Nd 3.630 4.047 7.507
Nd 5.530 1.349 2.050
Nd 7.061 4.047 0.001
Nd 4.993 1.349 9.453
Nd 7.088 4.047 6.721
Al 3.974 4.047 1.158
Al 1.944 1.349 10.258
Cd -2.858 4.047 9.989
Cd -1.516 1.349 8.213
Cd 0.873 4.047 5.379
Cd 5.045 1.349 6.036
Cd 7.434 4.047 3.202
Cd 8.776 1.349 1.427
```

Calculated values
The value obtained for the volume is 585.7 Å³/cell. The total magnetization comes out at 0.00 μB/atom. The calculated formation energy comes out at -0.24 eV per atom. The total energy comes out at -74.91 eV/cell.


4.
Density functional theory data (PBE-GGA) for crystalline KRb2Ca at its relaxed geometry. Values from VASP.

Quantum ESPRESSO input file:
```
&SYSTEM
  ibrav = 0, nat = 4, ntyp = 3
/
ATOMIC_SPECIES
K 39.10 K.upf
Rb 85.47 Rb.upf
Ca 40.08 Ca.upf
CELL_PARAMETERS angstrom
2.198 1.269 16.574
-2.198 1.269 16.574
0.000 -2.538 16.574
ATOMIC_POSITIONS angstrom
K 0.000 0.000 0.000
Rb 0.000 0.000 20.734
Rb 0.000 0.000 28.988
Ca 0.000 0.000 24.861
```

Calculated values
For the relative energy among the computed polymorphs, the calculation gives 62 meV per atom. The value obtained for the volume is 277.4 Å³/cell. The total magnetization comes out at 0.00 μB/atom. The calculated formation energy comes out at 0.20 eV per atom. The total energy comes out at -4.23 eV/cell.


5.
Density functional theory data (PBE-GGA) for crystalline PmEuMgOs at its relaxed geometry. Values from VASP.

Quantum ESPRESSO input file:
```
&SYSTEM
  ibrav = 0, nat = 4, ntyp = 4
/
ATOMIC_SPECIES
Pm 145.00 Pm.upf
Eu 151.96 Eu.upf
Mg 24.30 Mg.upf
Os 190.23 Os.upf
CELL_PARAMETERS angstrom
0.000 3.620 3.620
3.620 0.000 3.620
3.620 3.620 0.000
ATOMIC_POSITIONS angstrom
Pm 0.000 0.000 0.000
Eu 3.620 3.620 3.620
Mg 5.430 5.430 5.430
Os 1.810 1.810 1.810
```

Calculated values
The value obtained for the volume is 94.9 Å³/cell. The total magnetization comes out at 1.75 μB/atom. The calculated formation energy comes out at 0.11 eV per atom. The total energy comes out at -27.43 eV/cell.


6.
Density functional theory data (PBE-GGA) for crystalline Nd5HoPb5 at its relaxed geometry. Values from VASP.

Quantum ESPRESSO input file:
```
&SYSTEM
  ibrav = 0, nat = 11, ntyp = 3
/
ATOMIC_SPECIES
Nd 144.24 Nd.upf
Ho 164.93 Ho.upf
Pb 207.20 Pb.upf
CELL_PARAMETERS angstrom
8.400 -3.127 0.000
8.400 3.127 0.000
-1.951 0.000 7.136
ATOMIC_POSITIONS angstrom
Nd 0.000 0.000 0.000
Nd 5.046 0.000 1.476
Nd 4.357 0.000 5.088
Nd 10.492 0.000 2.047
Nd 9.804 0.000 5.659
Ho -0.975 0.000 3.568
Pb 1.042 0.000 6.177
Pb 2.010 0.000 2.790
Pb 7.425 0.000 3.568
Pb 12.839 0.000 4.345
Pb 13.807 0.000 0.958
```

Calculated values
The value obtained for the volume is 374.8 Å³/cell. The total magnetization comes out at 0.00 μB/atom. The calculated formation energy comes out at -0.33 eV per atom. The total energy comes out at -50.57 eV/cell.


Q: Which formula does entry 2 have?
A: AcNbHgO5